! Ca2PrThP4 PBE-GGA relaxed; values from VASP
! Formation enthalpy at 0 K in eV/atom: -1.2626
! Fermi-level density of states in states/eV per atom: 1.00
! Symmetry: No. 10
&SYSTEM
  ibrav = 0, nat = 8, ntyp = 4
/
ATOMIC_SPECIES
Ca 40.08 Ca.upf
Pr 140.91 Pr.upf
Th 232.04 Th.upf
P 30.97 P.upf
ATOMIC_POSITIONS angstrom
Ca 2.383 0.562 3.345
Ca 1.646 -3.311 1.877
Pr -2.436 -2.652 2.175
Th 0.000 0.000 0.000
P -0.059 -0.997 2.728
P 1.651 -4.404 4.668
P 4.099 -1.688 2.477
P -0.808 -4.933 1.276
CELL_PARAMETERS angstrom
-1.698 1.221 3.642
-3.173 -6.524 0.707
6.464 -0.097 3.047

***

! Ca3Pr2UP6 PBE-GGA relaxed; values from VASP
! Formation enthalpy at 0 K in eV/atom: -1.2277
! Symmetry: No. 12
&SYSTEM
  ibrav = 0, nat = 12, ntyp = 4
/
ATOMIC_SPECIES
Ca 40.08 Ca.upf
Pr 140.91 Pr.upf
U 238.03 U.upf
P 30.97 P.upf
ATOMIC_POSITIONS angstrom
Ca -2.436 0.863 5.191
Ca -5.008 -2.152 -1.977
Ca -3.722 -0.644 1.607
Pr -0.418 -2.245 3.455
Pr -1.715 -3.766 -0.161
U 0.000 0.000 0.000
P -6.304 -1.707 0.785
P -2.871 -3.543 2.521
P -1.139 0.418 2.429
P -5.097 -0.292 4.148
P -4.573 2.254 0.693
P -2.347 -0.997 -0.934
CELL_PARAMETERS angstrom
-3.018 -5.292 -3.790
0.885 -0.718 7.084
-5.310 4.721 -0.080